Compound: VHg3O2F6
Source: Alexandria via LeMat-Bulk
Functional: GGA+U
Structure: optimized geometry

Cell: 12.5979 6.9415 4.8917 Å, 90.00 108.12 90.00°
Closest atoms and distances in Å follow each position.
Space group C2/m (No. 12)
One atom of each set of equivalent atoms:
V (0.0000, 0.0000, 0.0000) [2 per cell]  6 F 1.88-1.91
Hg (0.0000, 0.5000, 0.5000) [2 per cell]  2 O 2.06
Hg (0.2500, 0.2500, 0.5000) [4 per cell]  2 O 2.09
O (0.1694, 0.5000, 0.5671) [4 per cell]  3 Hg 2.06-2.09
F (0.0900, 0.0000, 0.3940) [4 per cell]  1 V 1.91
F (0.0915, 0.1971, 0.9350) [8 per cell]  1 V 1.88

Summary:
Magnetic moment: 2.00 Bohr magnetons per cell
Total DFT energy (no corrections): -4.10 eV per atom